Entry from the Alexandria database: a relaxed structure of La3BiO6 (PBE-GGA).

```
La3BiO6
1.0
5.142 2.968 4.003
-5.142 2.968 4.003
0.000 -5.937 4.003
La Bi O
6 2 12
Direct
0.056 0.752 0.565
0.248 0.435 0.944
0.435 0.944 0.248
0.565 0.056 0.752
0.752 0.565 0.056
0.944 0.248 0.435
0.000 0.000 0.000
0.500 0.500 0.500
0.031 0.682 0.899
0.101 0.969 0.318
0.184 0.433 0.595
0.318 0.101 0.969
0.405 0.816 0.567
0.433 0.595 0.184
0.567 0.405 0.816
0.595 0.184 0.433
0.682 0.899 0.031
0.816 0.567 0.405
0.899 0.031 0.682
0.969 0.318 0.101
```

Computed properties:
The calculation puts the total energy at -7.729 eV/atom.

=====

Entry from the Alexandria database: a relaxed structure of Na2Hg13 (PBE-GGA).

```
Na2Hg13
1.0
4.439 2.563 7.426
-4.439 2.563 7.426
0.000 -5.125 7.426
Na Hg
2 13
Direct
0.240 0.240 0.240
0.760 0.760 0.760
0.000 0.000 0.000
0.026 0.026 0.634
0.026 0.634 0.026
0.256 0.256 0.609
0.256 0.609 0.256
0.366 0.974 0.974
0.391 0.744 0.744
0.609 0.256 0.256
0.634 0.026 0.026
0.744 0.391 0.744
0.744 0.744 0.391
0.974 0.366 0.974
0.974 0.974 0.366
```

Computed properties:
The energy above the most stable polymorph in this dataset is 19.4 meV/atom. Its energy of formation is -32 meV per atom.

=====

Entry from the Alexandria database: a relaxed structure of Ge2SbPb (PBE-GGA).

```
Ge2SbPb
1.0
-3.238 3.238 6.422
3.238 -3.238 6.422
3.238 3.238 -6.422
Ge Sb Pb
4 2 2
Direct
0.114 0.625 0.989
0.375 0.364 0.489
0.636 0.125 0.011
0.875 0.886 0.511
0.000 0.000 0.000
0.750 0.250 0.500
0.250 0.750 0.500
0.500 0.500 0.000
```

Computed properties:
The energy above the most stable polymorph in this dataset is 0.0 meV/atom.